5
Lattice="7.016 0.000 0.000 0.000 7.016 0.000 0.000 0.000 6.480" Properties=species:S:1:pos:R:3 comment="CsK2SrSb GGA-PBE optimized geometry" formation_energy_uncorrected_mev_per_atom=-274 dos_at_fermi_per_ev_cell=2.4 volume_a3_per_fu=319.0 crystal_system=tetragonal sg="No. 123" dft_energy_ev_per_cell=-10.2 pbc="T T T"
Cs 0.000 0.000 0.000
K 0.000 3.508 3.240
K 3.508 0.000 3.240
Sr 3.508 3.508 0.000
Sb 3.508 3.508 3.240

***

8
Lattice="-5.780 5.780 2.711 5.780 -5.780 2.711 5.780 5.780 -2.711" Properties=species:S:1:pos:R:3 comment="Ba2TlRe GGA-PBE optimized geometry" dos_at_fermi_per_ev_cell=9.3 volume_a3_per_fu=181.2 delta_e_f_mev_per_atom=686.3 crystal_system=tetragonal sg="No. 122" dft_energy_ev_per_cell=-31.8 e_above_lowest_polymorph_mev_per_atom=63.0 pbc="T T T"
Ba 0.674 2.890 0.678
Ba -2.890 5.106 2.033
Ba -0.674 8.670 0.678
Ba 2.890 6.454 2.033
Tl 5.780 0.000 1.355
Tl 0.000 0.000 2.711
Re 0.000 0.000 0.000
Re 0.000 5.780 1.355

***

18
Lattice="1.942 -6.041 0.000 1.942 6.041 0.000 0.000 0.000 11.240" Properties=species:S:1:pos:R:3 comment="ThMn5Si3 GGA-PBE optimized geometry" formation_energy_uncorrected_mev_per_atom=-394 dos_at_fermi_per_ev_cell=14.0 volume_a3_per_fu=131.8 crystal_system=orthorhombic sg="No. 63" dft_energy_ev_per_cell=-146.2 pbc="T T T"
Th 1.942 4.017 8.430
Th 1.942 -4.017 2.810
Mn 0.000 0.000 0.000
Mn 0.000 0.000 5.620
Mn 1.942 3.728 0.640
Mn 1.942 3.728 4.980
Mn 1.942 0.668 7.313
Mn 1.942 0.668 9.548
Mn 1.942 -0.668 1.692
Mn 1.942 -0.668 3.928
Mn 1.942 -3.728 6.260
Mn 1.942 -3.728 10.600
Si 1.942 4.627 2.810
Si 1.942 1.417 0.559
Si 1.942 1.417 5.061
Si 1.942 -1.417 6.179
Si 1.942 -1.417 10.681
Si 1.942 -4.627 8.430

***

6
Lattice="0.000 3.373 3.373 3.373 0.000 3.373 3.373 3.373 0.000" Properties=species:S:1:pos:R:3 comment="CoNi4Hg GGA-PBE optimized geometry" dos_at_fermi_per_ev_cell=12.3 volume_a3_per_fu=76.8 delta_e_f_mev_per_atom=262.3 crystal_system=cubic sg="No. 216" dft_energy_ev_per_cell=-29.0 pbc="T T T"
Co 0.000 0.000 0.000
Ni 2.526 2.526 2.526
Ni 4.220 4.220 2.526
Ni 4.220 2.526 4.220
Ni 2.526 4.220 4.220
Hg 5.060 5.060 5.060

***

3
Lattice="0.000 3.176 3.176 3.176 0.000 3.176 3.176 3.176 0.000" Properties=species:S:1:pos:R:3 comment="ZrTaAl GGA-PBE optimized geometry" dos_at_fermi_per_ev_cell=2.5 volume_a3_per_fu=64.1 delta_e_f_mev_per_atom=348.0 crystal_system=cubic sg="No. 216" dft_energy_ev_per_cell=-23.1 e_above_lowest_polymorph_mev_per_atom=614.9 pbc="T T T"
Zr 0.000 0.000 0.000
Ta 3.176 3.176 3.176
Al 1.588 1.588 1.588

***

4
Lattice="2.716 0.000 0.000 0.000 4.306 0.000 0.000 0.000 5.834" Properties=species:S:1:pos:R:3 comment="TcAg2Au GGA-PBE optimized geometry" dos_at_fermi_per_ev_cell=3.1 volume_a3_per_fu=68.2 delta_e_f_mev_per_atom=444.6 crystal_system=orthorhombic sg="No. 47" dft_energy_ev_per_cell=-17.6 e_above_lowest_polymorph_mev_per_atom=152.1 pbc="T T T"
Tc 0.000 0.000 0.000
Ag 1.358 2.153 1.413
Ag 1.358 2.153 4.421
Au 0.000 0.000 2.917

***

11
Lattice="5.510 0.000 0.000 -2.755 4.771 0.000 0.000 0.000 12.997" Properties=species:S:1:pos:R:3 comment="In3Hg2Bi2Pb4 GGA-PBE optimized geometry" dos_at_fermi_per_ev_cell=4.1 volume_a3_per_fu=341.7 delta_e_f_mev_per_atom=57.4 crystal_system=trigonal sg="No. 164" dft_energy_ev_per_cell=-30.8 pbc="T T T"
In 0.000 0.000 0.000
In 0.000 0.000 3.689
In 0.000 0.000 9.308
Hg 0.000 3.181 8.666
Hg 2.755 1.590 4.331
Bi 0.000 3.181 2.175
Bi 2.755 1.590 10.822
Pb 0.000 3.181 5.598
Pb 0.000 3.181 11.818
Pb 2.755 1.590 1.179
Pb 2.755 1.590 7.399

***

12
Lattice="6.154 -1.279 0.000 6.154 1.279 0.000 -1.136 0.000 5.065" Properties=species:S:1:pos:R:3 comment="B5C7 GGA-PBE optimized geometry" dos_at_fermi_per_ev_cell=1.9 volume_a3_per_fu=79.7 delta_e_f_mev_per_atom=384.1 crystal_system=monoclinic sg="No. 8" dft_energy_ev_per_cell=-93.3 e_above_lowest_polymorph_mev_per_atom=126.1 pbc="T T T"
B 0.000 0.000 0.000
B -0.446 0.000 2.312
B 0.526 0.000 3.833
B 3.581 0.000 3.244
B 8.102 0.000 1.545
C 0.918 0.000 1.300
C 4.092 0.000 0.700
C 4.669 0.000 2.108
C 4.092 0.000 4.743
C 7.630 0.000 4.139
C 8.617 0.000 3.058
C 9.327 0.000 0.487

***

9
Lattice="8.749 -2.358 0.000 8.749 2.358 0.000 -3.037 0.000 8.184" Properties=species:S:1:pos:R:3 comment="Rb2SmHg2Te4 GGA-PBE optimized geometry" formation_energy_uncorrected_mev_per_atom=-793 dos_at_fermi_per_ev_cell=4.2 volume_a3_per_fu=337.6 crystal_system=monoclinic sg="No. 12" dft_energy_ev_per_cell=-27.0 pbc="T T T"
Rb 2.071 0.000 0.687
Rb 12.390 0.000 7.497
Sm -1.518 0.000 4.092
Hg 4.167 0.000 4.333
Hg 10.294 0.000 3.851
Te 1.283 0.000 5.652
Te 7.972 0.000 2.068
Te 6.489 0.000 6.116
Te 13.178 0.000 2.532

***

24
Lattice="17.537 0.000 0.000 0.000 7.413 0.000 0.000 0.000 7.265" Properties=species:S:1:pos:R:3 comment="CsIn4Te7 GGA-PBE optimized geometry" formation_energy_uncorrected_mev_per_atom=-410 dos_at_fermi_per_ev_cell=19.0 volume_a3_per_fu=472.2 crystal_system=orthorhombic sg="No. 31" dft_energy_ev_per_cell=-77.4 pbc="T T T"
Cs 0.000 1.209 0.000
Cs 8.769 6.204 3.633
In 2.098 4.939 4.706
In 4.372 1.339 4.574
In 4.397 6.073 0.942
In 6.671 2.474 1.074
In 10.866 2.474 1.074
In 13.141 6.073 0.942
In 13.165 1.339 4.574
In 15.440 4.939 4.706
Te 0.000 6.459 3.552
Te 1.883 2.291 3.699
Te 1.920 4.955 0.254
Te 4.141 1.431 0.203
Te 4.628 5.982 3.836
Te 6.849 2.458 3.887
Te 6.886 5.121 0.067
Te 8.769 0.954 7.184
Te 10.652 5.121 0.067
Te 10.688 2.458 3.887
Te 12.910 5.982 3.836
Te 13.397 1.431 0.203
Te 15.618 4.955 0.254
Te 15.654 2.291 3.699

***

12
Lattice="3.562 -6.177 0.000 3.562 6.177 0.000 -2.379 0.000 6.794" Properties=species:S:1:pos:R:3 comment="PrDy3Pu2Se6 GGA-PBE optimized geometry" formation_energy_uncorrected_mev_per_atom=-1716 dos_at_fermi_per_ev_cell=19.0 volume_a3_per_fu=299.0 crystal_system=monoclinic sg="No. 12" dft_energy_ev_per_cell=-88.8 pbc="T T T"
Pr 0.000 0.000 0.000
Dy 2.373 4.150 3.397
Dy 2.373 0.000 3.397
Dy 2.373 -4.150 3.397
Pu 3.562 2.065 0.000
Pu 3.562 -2.065 0.000
Se 1.210 2.097 1.763
Se 0.044 0.000 5.043
Se 1.210 -2.097 1.763
Se 3.535 2.097 5.031
Se 4.701 0.000 1.752
Se 3.535 -2.097 5.031

***

4
Lattice="3.890 0.000 0.000 0.000 3.890 0.000 0.000 0.000 4.059" Properties=species:S:1:pos:R:3 comment="TiMoPd2 GGA-PBE optimized geometry" dos_at_fermi_per_ev_cell=4.8 volume_a3_per_fu=61.4 delta_e_f_mev_per_atom=-262.5 crystal_system=tetragonal sg="No. 123" dft_energy_ev_per_cell=-30.2 e_above_lowest_polymorph_mev_per_atom=0.0 pbc="T T T"
Ti 0.000 0.000 0.000
Mo 1.945 1.945 0.000
Pd 0.000 1.945 2.029
Pd 1.945 0.000 2.029